# 1
LuCuSb, relaxed, DFT PBE-GGA; raw formation energy = -0.57 eV per atom; symmetry = P3m1, No. 156; DOS at the Fermi energy = 0.382 states/eV/atom; calculated volume = 21.47 Å³/atom
1.0
4.2931 0.0000 0.0000
-2.1465 3.7179 0.0000
0.0000 0.0000 4.0353
Lu Cu Sb
1 1 1
Direct
0.0000 0.0000 0.0000
0.3333 0.6667 0.4136
0.6667 0.3333 0.5159

***

# 2
CaSc2Ag, relaxed, DFT PBE-GGA; formation energy = 0.151 eV/atom; symmetry = F-43m, No. 216; DOS at the Fermi energy = 1.308 states/eV/atom; calculated volume = 24.72 Å³/atom
1.0
0.0000 3.6703 3.6703
3.6703 0.0000 3.6703
3.6703 3.6703 0.0000
Ca Sc Ag
1 2 1
Direct
0.0000 0.0000 0.0000
0.2500 0.2500 0.2500
0.5000 0.5000 0.5000
0.7500 0.7500 0.7500

***

# 3
Lu4Au2O, relaxed, DFT PBE-GGA; raw formation energy = -1.34 eV per atom; symmetry = I4/mmm, No. 139; DOS at the Fermi energy = 1.150 states/eV/atom; calculated volume = 21.46 Å³/atom
1.0
-2.2653 2.2653 7.3176
2.2653 -2.2653 7.3176
2.2653 2.2653 -7.3176
Lu Au O
4 2 1
Direct
0.0000 0.5000 0.5000
0.1814 0.1814 0.0000
0.5000 0.0000 0.5000
0.8186 0.8186 0.0000
0.3703 0.3703 0.0000
0.6297 0.6297 0.0000
0.0000 0.0000 0.0000

***

# 4
BiTe2NF, relaxed, DFT PBE-GGA; raw formation energy = 0.98 eV per atom; symmetry = P4/mmm, No. 123; DOS at the Fermi energy = 0.677 states/eV/atom; calculated volume = 32.75 Å³/atom
1.0
6.0966 0.0000 0.0000
0.0000 6.0966 0.0000
0.0000 0.0000 4.4053
Bi Te N F
1 2 1 1
Direct
0.0000 0.0000 0.0000
0.0000 0.5000 0.0000
0.5000 0.0000 0.0000
0.0000 0.0000 0.5000
0.5000 0.5000 0.5000

***

# 5
TaPb2Au, relaxed, DFT PBE-GGA; formation energy = 0.534 eV/atom; symmetry = P2/m, No. 10; DOS at the Fermi energy = 0.479 states/eV/atom; calculated volume = 23.08 Å³/atom
1.0
3.0564 0.0000 0.0000
0.0000 5.2938 0.0000
-0.2173 0.0000 5.7064
Ta Pb Au
1 2 1
Direct
0.0000 0.0000 0.0000
0.2683 0.5000 0.7517
0.7317 0.5000 0.2483
0.5000 0.0000 0.5000

***

# 6
YBiIO2, relaxed, DFT PBE-GGA; raw formation energy = -1.06 eV per atom; symmetry = P4/mmm, No. 123; DOS at the Fermi energy = 0.543 states/eV/atom; calculated volume = 24.38 Å³/atom
1.0
4.4901 0.0000 0.0000
0.0000 4.4901 0.0000
0.0000 0.0000 6.0469
Y Bi I O
1 1 1 2
Direct
0.0000 0.0000 0.0000
0.5000 0.5000 0.5000
0.0000 0.0000 0.5000
0.0000 0.5000 0.0000
0.5000 0.0000 0.0000

***

# 7
ZnSbMo2, relaxed, DFT PBE-GGA; raw formation energy = 0.55 eV per atom; symmetry = Cmmm, No. 65; DOS at the Fermi energy = 0.906 states/eV/atom; calculated volume = 17.32 Å³/atom
1.0
1.7009 -2.3691 0.0000
1.7009 2.3691 0.0000
0.0000 0.0000 8.5983
Zn Sb Mo
1 1 2
Direct
0.0000 0.0000 0.0000
0.0000 0.0000 0.5000
0.5000 0.5000 0.2436
0.5000 0.5000 0.7564

***

# 8
AcDyTaN3, relaxed, DFT PBE-GGA; raw formation energy = -1.09 eV per atom; symmetry = P2_1/m, No. 11; DOS at the Fermi energy = 0.306 states/eV/atom; calculated volume = 19.48 Å³/atom
1.0
7.1360 0.0000 0.0000
0.0000 3.4690 0.0000
-0.6932 0.0000 9.4445
Ac Dy Ta N
2 2 2 6
Direct
0.1506 0.2500 0.2050
0.8494 0.7500 0.7950
0.1843 0.2500 0.5805
0.8157 0.7500 0.4195
0.3990 0.7500 0.8863
0.6010 0.2500 0.1137
0.1311 0.7500 0.3997
0.1963 0.7500 0.7461
0.4413 0.7500 0.1261
0.5587 0.2500 0.8739
0.8037 0.2500 0.2539
0.8689 0.2500 0.6003

***

# 9
Li2PrThGe2, relaxed, DFT PBE-GGA; formation energy = -0.613 eV/atom; symmetry = P-3m1, No. 164; DOS at the Fermi energy = 0.500 states/eV/atom; calculated volume = 22.08 Å³/atom
1.0
4.5230 0.0000 0.0000
-2.2615 3.9170 0.0000
0.0000 0.0000 7.4779
Li Pr Th Ge
2 1 1 2
Direct
0.3333 0.6667 0.2578
0.6667 0.3333 0.7422
0.0000 0.0000 0.5000
0.0000 0.0000 0.0000
0.3333 0.6667 0.7598
0.6667 0.3333 0.2402

***

# 10
Ti5Bi3O12, relaxed, DFT PBE-GGA; raw formation energy = -2.15 eV per atom; symmetry = Ia-3d, No. 230; DOS at the Fermi energy = 0.760 states/eV/atom; calculated volume = 13.87 Å³/atom
1.0
-6.5223 6.5223 6.5223
6.5223 -6.5223 6.5223
6.5223 6.5223 -6.5223
Ti Bi O
20 12 48
Direct
0.0000 0.0000 0.0000
0.0000 0.0000 0.5000
0.0000 0.5000 0.0000
0.0000 0.5000 0.5000
0.1250 0.7500 0.8750
0.1250 0.8750 0.2500
0.2500 0.1250 0.8750
0.2500 0.6250 0.3750
0.3750 0.2500 0.6250
0.3750 0.6250 0.7500
0.5000 0.0000 0.0000
0.5000 0.0000 0.5000
0.5000 0.5000 0.0000
0.5000 0.5000 0.5000
0.6250 0.3750 0.2500
0.6250 0.7500 0.3750
0.7500 0.3750 0.6250
0.7500 0.8750 0.1250
0.8750 0.1250 0.7500
0.8750 0.2500 0.1250
0.1250 0.2500 0.3750
0.1250 0.3750 0.7500
0.2500 0.3750 0.1250
0.2500 0.8750 0.6250
0.3750 0.1250 0.2500
0.3750 0.7500 0.1250
0.6250 0.2500 0.8750
0.6250 0.8750 0.7500
0.7500 0.1250 0.3750
0.7500 0.6250 0.8750
0.8750 0.6250 0.2500
0.8750 0.7500 0.6250
0.0111 0.1904 0.1194
0.0111 0.3207 0.8917
0.0710 0.6904 0.6793
0.0710 0.8806 0.3917
0.1083 0.6194 0.4290
0.1083 0.9890 0.6793
0.1194 0.0111 0.1904
0.1194 0.6083 0.9290
0.1793 0.1904 0.5710
0.1793 0.4890 0.6083
0.1904 0.1194 0.0111
0.1904 0.5710 0.1793
0.3096 0.3207 0.9290
0.3096 0.4890 0.3806
0.3207 0.8917 0.0111
0.3207 0.9290 0.3096
0.3806 0.3096 0.4890
0.3806 0.5710 0.8917
0.3917 0.0710 0.8806
0.3917 0.8207 0.5110
0.4290 0.1083 0.6194
0.4290 0.8207 0.8096
0.4890 0.3806 0.3096
0.4890 0.6083 0.1793
0.5110 0.3917 0.8207
0.5110 0.6194 0.6904
0.5710 0.1793 0.1904
0.5710 0.8917 0.3806
0.6083 0.1793 0.4890
0.6083 0.9290 0.1194
0.6194 0.4290 0.1083
0.6194 0.6904 0.5110
0.6793 0.0710 0.6904
0.6793 0.1083 0.9890
0.6904 0.5110 0.6194
0.6904 0.6793 0.0710
0.8096 0.4290 0.8207
0.8096 0.8806 0.9890
0.8207 0.5110 0.3917
0.8207 0.8096 0.4290
0.8806 0.3917 0.0710
0.8806 0.9890 0.8096
0.8917 0.0111 0.3207
0.8917 0.3806 0.5710
0.9290 0.1194 0.6083
0.9290 0.3096 0.3207
0.9890 0.6793 0.1083
0.9890 0.8096 0.8806

***

# 11
HfSc2Ir, relaxed, DFT PBE-GGA; formation energy = -0.446 eV/atom; symmetry = P4/mmm, No. 123; DOS at the Fermi energy = 1.301 states/eV/atom; calculated volume = 20.02 Å³/atom
1.0
3.2156 0.0000 0.0000
0.0000 3.2156 0.0000
0.0000 0.0000 7.7440
Hf Sc Ir
1 2 1
Direct
0.0000 0.0000 0.0000
0.5000 0.5000 0.2910
0.5000 0.5000 0.7090
0.0000 0.0000 0.5000

***

# 12
AcCe2NbN4, relaxed, DFT PBE-GGA; raw formation energy = -1.14 eV per atom; symmetry = Cmcm, No. 63; DOS at the Fermi energy = 1.196 states/eV/atom; calculated volume = 16.99 Å³/atom
1.0
1.7770 -6.2134 0.0000
1.7770 6.2134 0.0000
0.0000 0.0000 12.3079
Ac Ce Nb N
2 4 2 8
Direct
0.0947 0.9053 0.7500
0.9053 0.0947 0.2500
0.3698 0.6302 0.5401
0.3698 0.6302 0.9599
0.6302 0.3698 0.0401
0.6302 0.3698 0.4599
0.1666 0.8334 0.2500
0.8334 0.1666 0.7500
0.0000 0.0000 0.0000
0.0000 0.0000 0.5000
0.2631 0.7369 0.1213
0.2631 0.7369 0.3787
0.4332 0.5668 0.7500
0.5668 0.4332 0.2500
0.7369 0.2631 0.6213
0.7369 0.2631 0.8787

***

# 13
EuTlAg4, relaxed, DFT PBE-GGA; formation energy = -0.174 eV/atom; symmetry = F-43m, No. 216; DOS at the Fermi energy = 2.534 states/eV/atom; calculated volume = 22.08 Å³/atom
1.0
0.0000 4.0459 4.0459
4.0459 0.0000 4.0459
4.0459 4.0459 0.0000
Eu Tl Ag
1 1 4
Direct
0.0000 0.0000 0.0000
0.7500 0.7500 0.7500
0.3752 0.3752 0.3752
0.3752 0.3752 0.8745
0.3752 0.8745 0.3752
0.8745 0.3752 0.3752

***

# 14
CaNi2WBr, relaxed, DFT PBE-GGA; raw formation energy = 0.85 eV per atom; symmetry = P4/mmm, No. 123; DOS at the Fermi energy = 1.094 states/eV/atom; calculated volume = 25.53 Å³/atom
1.0
4.4918 0.0000 0.0000
0.0000 4.4918 0.0000
0.0000 0.0000 6.3270
Ca Ni W Br
1 2 1 1
Direct
0.0000 0.0000 0.0000
0.0000 0.5000 0.5000
0.5000 0.0000 0.5000
0.0000 0.0000 0.5000
0.5000 0.5000 0.0000

***

# 15
K3Rb8Ag, relaxed, DFT PBE-GGA; formation energy = 0.038 eV/atom; symmetry = P6_3mc, No. 186; DOS at the Fermi energy = 0.679 states/eV/atom; calculated volume = 77.04 Å³/atom
1.0
14.7469 0.0000 0.0000
-7.3734 12.7712 0.0000
0.0000 0.0000 9.8171
K Rb Ag
6 16 2
Direct
0.1551 0.3102 0.0000
0.1551 0.8449 0.0000
0.3102 0.1551 0.5000
0.6898 0.8449 0.0000
0.8449 0.1551 0.5000
0.8449 0.6898 0.5000
0.0000 0.0000 0.2535
0.0000 0.0000 0.7535
0.0466 0.5233 0.2302
0.2059 0.4118 0.5191
0.2059 0.7941 0.5191
0.3333 0.6667 0.9214
0.4118 0.2059 0.0191
0.4767 0.5233 0.2302
0.4767 0.9534 0.2302
0.5233 0.0466 0.7302
0.5233 0.4767 0.7302
0.5882 0.7941 0.5191
0.6667 0.3333 0.4214
0.7941 0.2059 0.0191
0.7941 0.5882 0.0191
0.9534 0.4767 0.7302
0.3333 0.6667 0.3142
0.6667 0.3333 0.8142

***

# 16
Ca2ScPb2, relaxed, DFT PBE-GGA; formation energy = 0.163 eV/atom; symmetry = I4/mmm, No. 139; DOS at the Fermi energy = 1.306 states/eV/atom; calculated volume = 34.58 Å³/atom
1.0
-2.2726 2.2726 8.3691
2.2726 -2.2726 8.3691
2.2726 2.2726 -8.3691
Ca Sc Pb
2 1 2
Direct
0.1042 0.1042 0.0000
0.8958 0.8958 0.0000
0.5000 0.5000 0.0000
0.2500 0.7500 0.5000
0.7500 0.2500 0.5000

***

# 17
ScCuSb2, relaxed, DFT PBE-GGA; raw formation energy = -0.19 eV per atom; symmetry = P4mm, No. 99; DOS at the Fermi energy = 0.390 states/eV/atom; calculated volume = 23.68 Å³/atom
1.0
3.1829 0.0000 0.0000
0.0000 3.1829 0.0000
0.0000 0.0000 9.3497
Sc Cu Sb
1 1 2
Direct
0.0000 0.0000 0.0000
0.5000 0.5000 0.1783
0.0000 0.0000 0.3633
0.5000 0.5000 0.7588

***

# 18
Pr3CuSi2Pd9, relaxed, DFT PBE-GGA; raw formation energy = -0.60 eV per atom; symmetry = P-3m1, No. 164; DOS at the Fermi energy = 0.318 states/eV/atom; calculated volume = 20.38 Å³/atom
1.0
5.8386 0.0000 0.0000
-2.9193 5.0563 0.0000
0.0000 0.0000 10.3534
Pr Cu Si Pd
3 1 2 9
Direct
0.0000 0.0000 0.0000
0.3333 0.6667 0.6027
0.6667 0.3333 0.3973
0.0000 0.0000 0.5000
0.3333 0.6667 0.1626
0.6667 0.3333 0.8374
0.0000 0.5000 0.0000
0.1611 0.3222 0.3106
0.1611 0.8389 0.3106
0.3222 0.1611 0.6894
0.5000 0.0000 0.0000
0.5000 0.5000 0.0000
0.6778 0.8389 0.3106
0.8389 0.1611 0.6894
0.8389 0.6778 0.6894

***

# 19
HfCuB2Ir, relaxed, DFT PBE-GGA; formation energy = 0.609 eV/atom; symmetry = P4/mmm, No. 123; DOS at the Fermi energy = 0.363 states/eV/atom; calculated volume = 17.02 Å³/atom
1.0
4.0410 0.0000 0.0000
0.0000 4.0410 0.0000
0.0000 0.0000 5.2100
Hf Cu B Ir
1 1 2 1
Direct
0.0000 0.0000 0.0000
0.5000 0.5000 0.0000
0.0000 0.5000 0.5000
0.5000 0.0000 0.5000
0.0000 0.0000 0.5000

***

# 20
CsRbNaAu, relaxed, DFT PBE-GGA; formation energy = -0.069 eV/atom; symmetry = F-43m, No. 216; DOS at the Fermi energy = 0.287 states/eV/atom; calculated volume = 46.08 Å³/atom
1.0
0.0000 4.5171 4.5171
4.5171 0.0000 4.5171
4.5171 4.5171 0.0000
Cs Rb Na Au
1 1 1 1
Direct
0.0000 0.0000 0.0000
0.5000 0.5000 0.5000
0.7500 0.7500 0.7500
0.2500 0.2500 0.2500

***

# 21
Pm2PrHoTl4, relaxed, DFT PBE-GGA; formation energy = -0.368 eV/atom; symmetry = R-3m, No. 166; DOS at the Fermi energy = 0.835 states/eV/atom; calculated volume = 29.01 Å³/atom
1.0
2.7345 1.5788 8.9602
-2.7345 1.5788 8.9602
0.0000 -3.1575 8.9602
Pm Pr Ho Tl
2 1 1 4
Direct
0.2492 0.2492 0.2492
0.7508 0.7508 0.7508
0.0000 0.0000 0.0000
0.5000 0.5000 0.5000
0.1266 0.1266 0.1266
0.3768 0.3768 0.3768
0.6232 0.6232 0.6232
0.8734 0.8734 0.8734